Compound: YTaFe2
Source: the Alexandria database
Functional: PBEsol
Structure: relaxed

a b c (Å): 3.075 3.075 6.546
angles (deg): 90.00 90.00 90.00
Last column: magnetic moment on the atom in μB.
Fractional positions:
Fe1 0.000 0.000 0.788  0.19
Fe2 0.000 0.000 0.212  0.19
Y1 0.500 0.500 0.500  -0.05
Ta1 0.500 0.500 0.000  -0.05

- E (eV per atom) = -9.357
- ρ (g cm⁻³) = 10.24
- symmetry = P4/mmm, No. 123
- total magnetic moment (μB per formula unit) = 0.2

Compound: LaZrCd
Source: the Alexandria database
Functional: PBEsol
Structure: relaxed

a b c (Å): 4.885 4.885 4.885
angles (deg): 60.00 60.00 60.00
Last column: magnetic moment on the atom in μB.
Fractional positions:
Zr1 0.750 0.750 0.750  0.34
Cd1 0.000 0.000 0.000  0.01
La1 0.500 0.500 0.500  0.13

- E (eV per atom) = -4.653
- ρ (g cm⁻³) = 6.90
- symmetry = F-43m, No. 216
- total magnetic moment (μB per formula unit) = 0.6
- energy relative to the lowest polymorph listed for this composition (eV per atom) = 0.613

Compound: SrTiI2Cl
Source: the Alexandria database
Functional: PBEsol
Structure: relaxed

a b c (Å): 5.230 5.230 6.627
angles (deg): 90.00 90.00 90.00
Last column: magnetic moment on the atom in μB.
Fractional positions:
Sr1 0.000 0.000 0.500  0.04
Ti1 0.000 0.000 0.000  1.23
Cl1 0.500 0.500 0.500  0.00
I1 0.000 0.500 0.000  -0.02
I2 0.500 0.000 0.000  -0.02

- E (eV per atom) = -3.787
- energy relative to the elements, uncorrected (eV per atom) = -0.646
- ρ (g cm⁻³) = 3.89
- symmetry = P4/mmm, No. 123
- total magnetic moment (μB per formula unit) = 1.8

Compound: ScBeN2O
Source: the Alexandria database
Functional: PBEsol
Structure: relaxed

a b c (Å): 3.218 3.218 4.178
angles (deg): 90.00 90.00 90.00
Fractional positions:
N1 0.000 0.500 0.000
N2 0.500 0.000 0.000
Be1 0.000 0.000 0.000
O1 0.000 0.000 0.500
Sc1 0.500 0.500 0.500

- E (eV per atom) = -7.258
- energy relative to the elements, uncorrected (eV per atom) = -0.676
- ρ (g cm⁻³) = 3.76
- symmetry = P4/mmm, No. 123
- total magnetic moment (μB per formula unit) = 0.0

Compound: LiGd2Ga
Source: the Alexandria database
Functional: PBEsol
Structure: relaxed

a b c (Å): 5.068 5.068 5.068
angles (deg): 60.00 60.00 60.00
Last column: magnetic moment on the atom in μB.
Fractional positions:
Li1 0.000 0.000 0.000  0.01
Ga1 0.500 0.500 0.500  -0.04
Gd1 0.750 0.750 0.750  7.13
Gd2 0.250 0.250 0.250  7.13

- E (eV per atom) = -8.877
- ρ (g cm⁻³) = 7.06
- symmetry = Fm-3m, No. 225
- total magnetic moment (μB per formula unit) = 14.9

Compound: Sr3MoOs
Source: the Alexandria database
Functional: PBEsol
Structure: relaxed

a b c (Å): 5.403 5.403 5.403
angles (deg): 90.00 90.00 90.00
Last column: magnetic moment on the atom in μB.
Fractional positions:
Sr1 0.000 0.500 0.000  -0.02
Sr2 0.500 0.000 0.000  -0.02
Sr3 0.000 0.000 0.500  -0.02
Os1 0.500 0.500 0.500  1.95
Mo1 0.000 0.000 0.000  0.30

- E (eV per atom) = -3.988
- ρ (g cm⁻³) = 5.78
- symmetry = Pm-3m, No. 221
- total magnetic moment (μB per formula unit) = 2.2

Compound: Li6SbS2
Source: the Alexandria database
Functional: PBEsol
Structure: relaxed

a b c (Å): 3.986 3.986 10.000
angles (deg): 101.50 101.50 90.00
Fractional positions:
Li1 0.250 0.750 0.500
Li2 0.898 0.398 0.796
Li3 0.750 0.250 0.500
Li4 0.102 0.602 0.204
Li5 0.398 0.898 0.796
Li6 0.602 0.102 0.204
S1 0.824 0.824 0.648
S2 0.176 0.176 0.352
Sb1 0.500 0.500 0.000

- E (eV per atom) = -3.820
- energy relative to the elements, uncorrected (eV per atom) = -1.028
- ρ (g cm⁻³) = 2.48
- symmetry = I4/mmm, No. 139
- total magnetic moment (μB per formula unit) = 0.0
- energy relative to the lowest polymorph listed for this composition (eV per atom) = 0.000

Compound: ZnHg5
Source: the Alexandria database
Functional: PBEsol
Structure: relaxed

a b c (Å): 3.243 5.983 7.168
angles (deg): 95.65 90.00 105.73
Fractional positions:
Hg1 0.060 0.120 0.977
Hg2 0.409 0.819 0.232
Hg3 0.676 0.352 0.352
Hg4 0.986 0.972 0.581
Hg5 0.269 0.537 0.692
Zn1 0.767 0.534 0.999

- E (eV per atom) = -0.689
- ρ (g cm⁻³) = 13.32
- symmetry = Cm, No. 8
- total magnetic moment (μB per formula unit) = 0.0

Compound: MgAlBr2
Source: the Alexandria database
Functional: PBEsol
Structure: relaxed

a b c (Å): 3.578 3.578 9.005
angles (deg): 90.00 90.00 90.00
Fractional positions:
Br1 0.000 0.000 0.025
Br2 0.500 0.500 0.402
Al1 0.500 0.500 0.779
Mg1 0.000 0.000 0.294

- E (eV per atom) = -2.747
- energy relative to the elements, uncorrected (eV per atom) = -0.360
- ρ (g cm⁻³) = 3.04
- symmetry = P4mm, No. 99
- total magnetic moment (μB per formula unit) = 0.0
- energy relative to the lowest polymorph listed for this composition (eV per atom) = 0.000

Compound: BaCd2Pt
Source: the Alexandria database
Functional: PBEsol
Structure: relaxed

a b c (Å): 3.551 5.285 6.241
angles (deg): 115.05 106.53 90.00
Fractional positions:
Cd1 0.796 0.796 0.592
Cd2 0.204 0.204 0.408
Pt1 0.500 0.000 0.000
Ba1 0.000 0.500 0.000

- E (eV per atom) = -3.143
- ρ (g cm⁻³) = 9.19
- symmetry = Immm, No. 71
- total magnetic moment (μB per formula unit) = 0.0

Compound: SrY2Cd
Source: the Alexandria database
Functional: PBEsol
Structure: relaxed

a b c (Å): 3.715 5.635 6.889
angles (deg): 114.14 105.64 90.00
Fractional positions:
Y1 0.787 0.787 0.574
Y2 0.213 0.213 0.426
Cd1 0.500 0.000 0.000
Sr1 0.000 0.500 0.000

- E (eV per atom) = -4.258
- ρ (g cm⁻³) = 4.99
- symmetry = Immm, No. 71
- total magnetic moment (μB per formula unit) = 0.0

Compound: CdB2F8
Source: the Alexandria database
Functional: PBEsol
Structure: relaxed

a b c (Å): 8.694 9.115 13.201
angles (deg): 90.00 90.00 90.00
Fractional positions:
B1 0.813 0.894 0.843
B2 0.496 0.277 0.441
B3 0.004 0.777 0.559
B4 0.313 0.606 0.843
B5 0.187 0.606 0.343
B6 0.313 0.106 0.657
B7 0.687 0.394 0.157
B8 0.496 0.777 0.059
B9 0.187 0.106 0.157
B10 0.004 0.277 0.941
B11 0.504 0.223 0.941
B12 0.996 0.723 0.059
B13 0.996 0.223 0.441
B14 0.504 0.723 0.559
B15 0.813 0.394 0.657
B16 0.687 0.894 0.343
F1 0.574 0.148 0.021
F2 0.262 0.509 0.276
F3 0.427 0.122 0.878
F4 0.026 0.586 0.336
F5 0.427 0.622 0.622
F6 0.239 0.580 0.442
F7 0.101 0.827 0.021
F8 0.614 0.799 0.619
F9 0.573 0.378 0.378
F10 0.238 0.009 0.724
F11 0.239 0.080 0.058
F12 0.886 0.299 0.381
F13 0.601 0.173 0.479
F14 0.073 0.122 0.378
F15 0.886 0.799 0.119
F16 0.974 0.914 0.836
F17 0.574 0.648 0.479
F18 0.761 0.920 0.942
F19 0.073 0.622 0.122
F20 0.275 0.752 0.815
F21 0.114 0.201 0.881
F22 0.739 0.920 0.442
F23 0.238 0.509 0.776
F24 0.225 0.252 0.185
F25 0.725 0.248 0.185
F26 0.261 0.580 0.942
F27 0.262 0.009 0.224
F28 0.026 0.086 0.164
F29 0.526 0.914 0.336
F30 0.926 0.648 0.979
F31 0.899 0.673 0.521
F32 0.926 0.148 0.521
F33 0.474 0.586 0.836
F34 0.601 0.673 0.021
F35 0.225 0.752 0.315
F36 0.426 0.852 0.979
F37 0.927 0.878 0.622
F38 0.762 0.991 0.276
F39 0.114 0.701 0.619
F40 0.275 0.252 0.685
F41 0.386 0.201 0.381
F42 0.738 0.991 0.776
F43 0.974 0.414 0.664
F44 0.775 0.248 0.685
F45 0.261 0.080 0.558
F46 0.614 0.299 0.881
F47 0.573 0.878 0.122
F48 0.761 0.420 0.558
F49 0.762 0.491 0.224
F50 0.738 0.491 0.724
F51 0.426 0.352 0.521
F52 0.399 0.327 0.979
F53 0.899 0.173 0.979
F54 0.399 0.827 0.521
F55 0.526 0.414 0.164
F56 0.074 0.852 0.479
F57 0.074 0.352 0.021
F58 0.101 0.327 0.479
F59 0.775 0.748 0.815
F60 0.739 0.420 0.058
F61 0.474 0.086 0.664
F62 0.927 0.378 0.878
F63 0.386 0.701 0.119
F64 0.725 0.748 0.315
Cd1 0.218 0.968 0.897
Cd2 0.718 0.532 0.897
Cd3 0.282 0.968 0.397
Cd4 0.782 0.532 0.397
Cd5 0.282 0.468 0.103
Cd6 0.218 0.468 0.603
Cd7 0.782 0.032 0.103
Cd8 0.718 0.032 0.603

- E (eV per atom) = -5.494
- energy relative to the elements, uncorrected (eV per atom) = -2.708
- ρ (g cm⁻³) = 3.63
- symmetry = Pbca, No. 61
- total magnetic moment (μB per formula unit) = 0.1

Compound: LaTeMo2
Source: the Alexandria database
Functional: PBEsol
Structure: relaxed

a b c (Å): 4.390 4.390 6.081
angles (deg): 68.84 68.84 60.00
Fractional positions:
La1 0.255 0.255 0.234
Mo1 0.740 0.740 0.780
Mo2 0.044 0.044 0.869
Te1 0.467 0.467 0.600

- E (eV per atom) = -8.157
- energy relative to the elements, uncorrected (eV per atom) = -0.055
- ρ (g cm⁻³) = 8.25
- symmetry = R3m, No. 160
- total magnetic moment (μB per formula unit) = 0.0

Compound: RbMn2Ir2
Source: the Alexandria database
Functional: PBEsol
Structure: relaxed

a b c (Å): 4.021 4.021 7.221
angles (deg): 106.16 106.16 90.00
Last column: magnetic moment on the atom in μB.
Fractional positions:
Ir1 0.250 0.750 0.500  0.07
Ir2 0.750 0.250 0.500  0.07
Mn1 0.646 0.646 0.291  3.37
Mn2 0.354 0.354 0.709  3.37
Rb1 0.000 0.000 0.000  0.04

- E (eV per atom) = -7.304
- ρ (g cm⁻³) = 8.97
- symmetry = I4/mmm, No. 139
- total magnetic moment (μB per formula unit) = 7.8

Compound: Tl3TePd
Source: the Alexandria database
Functional: PBEsol
Structure: relaxed

a b c (Å): 5.264 5.264 5.264
angles (deg): 90.00 90.00 90.00
Fractional positions:
Tl1 0.000 0.500 0.000
Tl2 0.500 0.000 0.000
Tl3 0.000 0.000 0.500
Te1 0.500 0.500 0.500
Pd1 0.000 0.000 0.000

- E (eV per atom) = -3.603
- energy relative to the elements, uncorrected (eV per atom) = -0.128
- ρ (g cm⁻³) = 9.64
- symmetry = Pm-3m, No. 221
- total magnetic moment (μB per formula unit) = 0.0

Compound: CuAsP2
Source: the Alexandria database
Functional: PBEsol
Structure: relaxed

a b c (Å): 5.307 5.307 6.465
angles (deg): 114.23 114.23 90.00
Fractional positions:
P1 0.855 0.375 0.250
P2 0.625 0.605 0.750
P3 0.395 0.875 0.250
P4 0.125 0.145 0.750
Cu1 0.750 0.250 0.500
Cu2 0.500 0.500 0.000
As1 0.250 0.750 0.500
As2 0.000 0.000 0.000

- E (eV per atom) = -5.208
- ρ (g cm⁻³) = 4.49
- symmetry = I-42d, No. 122
- total magnetic moment (μB per formula unit) = 0.0

Compound: LiNbFeO4
Source: the Alexandria database
Functional: PBEsol
Structure: relaxed

a b c (Å): 5.913 6.171 8.550
angles (deg): 90.00 90.00 90.00
Last column: magnetic moment on the atom in μB.
Fractional positions:
O1 0.978 0.511 0.247  0.06
O2 0.250 0.284 0.521  0.15
O3 0.478 0.489 0.753  0.06
O4 0.522 0.011 0.253  0.06
O5 0.022 0.989 0.747  0.06
O6 0.250 0.784 0.979  0.15
O7 0.522 0.511 0.247  0.06
O8 0.978 0.011 0.253  0.06
O9 0.250 0.741 0.515  0.12
O10 0.478 0.989 0.747  0.06
O11 0.250 0.241 0.985  0.12
O12 0.750 0.759 0.015  0.12
O13 0.750 0.259 0.485  0.12
O14 0.750 0.216 0.021  0.15
O15 0.022 0.489 0.753  0.06
O16 0.750 0.716 0.479  0.15
Fe1 0.000 0.000 0.000  3.60
Fe2 0.500 0.000 0.000  3.60
Fe3 0.000 0.500 0.500  3.60
Fe4 0.500 0.500 0.500  3.60
Nb1 0.250 0.223 0.756  -0.12
Nb2 0.750 0.277 0.256  -0.12
Nb3 0.250 0.723 0.744  -0.12
Nb4 0.750 0.777 0.244  -0.12
Li1 0.750 0.489 0.889  0.00
Li2 0.750 0.989 0.611  0.00
Li3 0.250 0.511 0.111  0.00
Li4 0.250 0.011 0.389  0.00

- E (eV per atom) = -8.067
- energy relative to the elements, uncorrected (eV per atom) = -1.960
- ρ (g cm⁻³) = 4.68
- symmetry = Pnma, No. 62
- total magnetic moment (μB per formula unit) = 4.0
- energy relative to the lowest polymorph listed for this composition (eV per atom) = 0.006

Compound: SrZn2ReBr
Source: the Alexandria database
Functional: PBEsol
Structure: relaxed

a b c (Å): 5.662 5.888 5.888
angles (deg): 90.00 90.00 90.00
Last column: magnetic moment on the atom in μB.
Fractional positions:
Sr1 0.000 0.000 0.000  -0.01
Re1 0.500 0.000 0.000  3.17
Zn1 0.000 0.000 0.500  0.01
Zn2 0.000 0.500 0.000  0.01
Br1 0.500 0.500 0.500  0.06

- E (eV per atom) = -2.244
- energy relative to the elements, uncorrected (eV per atom) = 1.798
- ρ (g cm⁻³) = 4.10
- symmetry = P4/mmm, No. 123
- total magnetic moment (μB per formula unit) = 4.0

Compound: Sr2H6Pt
Source: the Alexandria database
Functional: PBEsol
Structure: relaxed

a b c (Å): 5.496 5.495 7.342
angles (deg): 90.00 111.98 90.00
Fractional positions:
H1 0.378 0.500 0.755
H2 0.278 0.722 0.000
H3 0.500 0.750 0.500
H4 0.778 0.778 0.000
H5 0.000 0.750 0.500
H6 0.878 0.000 0.755
H7 0.122 0.000 0.245
H8 0.000 0.250 0.500
H9 0.500 0.250 0.500
H10 0.222 0.222 0.000
H11 0.722 0.278 0.000
H12 0.622 0.500 0.245
Pt1 0.500 0.500 0.000
Pt2 0.000 0.000 0.000
Sr1 0.855 0.500 0.709
Sr2 0.355 0.000 0.709
Sr3 0.645 0.000 0.291
Sr4 0.145 0.500 0.291

- E (eV per atom) = -3.985
- ρ (g cm⁻³) = 6.08
- symmetry = Cmce, No. 64
- total magnetic moment (μB per formula unit) = 0.0

Compound: LiNiCSO7
Source: the Alexandria database
Functional: PBEsol
Structure: relaxed

a b c (Å): 4.887 6.429 8.310
angles (deg): 90.00 93.59 90.00
Last column: magnetic moment on the atom in μB.
Fractional positions:
Li1 0.213 0.483 0.785  0.00
Li2 0.787 0.983 0.215  0.00
O1 0.427 0.741 0.544  0.01
O2 0.676 0.207 0.074  -0.02
O3 0.324 0.707 0.926  -0.02
O4 0.173 0.076 0.324  0.08
O5 0.573 0.241 0.456  0.01
O6 0.950 0.258 0.867  -0.02
O7 0.483 0.763 0.185  -0.01
O8 0.050 0.758 0.133  -0.02
O9 0.827 0.576 0.676  0.08
O10 0.206 0.442 0.316  0.08
O11 0.794 0.942 0.684  0.08
O12 0.860 0.772 0.425  0.01
O13 0.517 0.263 0.815  -0.01
O14 0.140 0.272 0.575  0.01
C1 0.289 0.743 0.068  0.00
C2 0.711 0.243 0.932  0.00
S1 0.731 0.761 0.583  0.01
S2 0.269 0.261 0.417  0.01
Ni1 0.221 0.756 0.341  0.80
Ni2 0.779 0.256 0.659  0.80

- E (eV per atom) = -6.678
- energy relative to the elements, uncorrected (eV per atom) = -1.323
- ρ (g cm⁻³) = 2.83
- symmetry = P2_1, No. 4
- total magnetic moment (μB per formula unit) = 1.0